ScSiIr2 | GGA-PBE | relaxed

Structure (POSCAR):
```
ScSiIr2
1.0
-3.1018 -1.1436 3.0765
-0.4532 -2.0534 3.9965
0.2507 3.8828 3.1184
Ir Si Sc
2 1 1
direct
0.9923 0.9923 0.0222 Ir
0.5077 0.5077 0.4778 Ir
0.2500 0.2500 0.2500 Si
0.7500 0.7500 0.7500 Sc
```

## Properties
ΔE_f (raw): -0.58 eV per atom
Density of states at the Fermi level: 0.67 states/eV per atom
Symmetry: C2/m (12)
Calculated volume: 15.35 Å³/atom

AcHgGeBi | GGA-PBE | relaxed

Structure (POSCAR):
```
AcHgGeBi
1.0
5.4773 0.0000 0.0000
2.7387 4.7435 0.0000
2.7387 1.5812 4.4722
Ge Ac Hg Bi
1 1 1 1
direct
0.2500 0.2500 0.2500 Ge
0.0000 0.0000 0.0000 Ac
0.7500 0.7500 0.7500 Hg
0.5000 0.5000 0.5000 Bi
```

## Properties
Density of states at the Fermi level: 0.84 states/eV per atom
Symmetry: F-43m (216)
Calculated volume: 29.05 Å³/atom
ΔH_f (0 K): -7.1 kcal/mol of atoms

Which of these has the lowest calculated volume?
ScSiIr2